# Tl2HgS | Alexandria via LeMat-Bulk | PBE | relaxed
# Total DFT energy (no corrections) in eV/atom: -2.39
# Crystal system: tetragonal
# E_form (uncorrected) in meV per atom: -97
# Total magnetic moment in μB per formula unit: 0.0
# Offset from the most stable computed form in eV/atom: 0.1511
data_Tl2HgS
_cell_length_a 5.120
_cell_length_b 5.120
_cell_length_c 4.172
_cell_angle_alpha 90.00
_cell_angle_beta 90.00
_cell_angle_gamma 90.00
_symmetry_space_group_name_H-M 'P 4/m m m'
_symmetry_Int_Tables_number 123
_symmetry_space_group_name_Hall '-P 4 2'
loop_
_atom_site_label
_atom_site_fract_x
_atom_site_fract_y
_atom_site_fract_z
Tl1 0.000 0.500 0.000
Hg1 0.000 0.000 0.500
S1 0.500 0.500 0.500